(1)
Density functional theory data (PBE-GGA) for a relaxed LiBi2Pt crystal.

Cell: 3.9550 3.9550 26.5941 Å, 90.00 90.00 120.00°
Space group R-3m (No. 166, hexagonal axes)
Asymmetric unit:
Li1 0.0000 0.0000 0.0000
Bi1 0.0000 0.0000 0.1069
Pt1 0.0000 0.0000 0.5000

## Properties
- Total energy: -48.98 eV/cell

(2)
Density functional theory data (PBE-GGA) for a relaxed LiBiPt crystal.

Cell: 6.3857 6.3857 6.3857 Å, 90.00 90.00 90.00°
Space group F-43m (No. 216)
Asymmetric unit:
Li1 0.0000 0.0000 0.0000
Bi1 0.0000 0.0000 0.5000
Pt1 0.2500 0.2500 0.7500

## Properties
- Energy above the lowest structure with this stoichiometry: 0.000 eV per atom

(3)
Density functional theory data (PBE-GGA) for a relaxed LiPuBiPt crystal.

Cell: 6.9781 6.9781 6.9781 Å, 90.00 90.00 90.00°
Space group F-43m (No. 216)
Asymmetric unit:
Li1 0.0000 0.0000 0.0000
Pu1 0.2500 0.2500 0.2500
Bi1 0.2500 0.2500 0.7500
Pt1 0.0000 0.0000 0.5000

## Properties
- Total energy: -111.98 eV/cell

(4)
Density functional theory data (PBE-GGA) for a relaxed Li2ScBiPt crystal.

Cell: 5.1138 5.1138 4.7028 Å, 90.00 90.00 90.00°
Space group P4/mmm (No. 123)
Asymmetric unit:
Li1 0.0000 0.5000 0.0000
Sc1 0.0000 0.0000 0.0000
Bi1 0.5000 0.5000 0.5000
Pt1 0.0000 0.0000 0.5000

## Properties
- Total energy: -18.13 eV/cell

(5)
Density functional theory data (PBE-GGA) for a relaxed LiScBiPt crystal.

Cell: 6.7756 6.7756 6.7756 Å, 90.00 90.00 90.00°
Space group F-43m (No. 216)
Asymmetric unit:
Li1 0.0000 0.0000 0.0000
Sc1 0.0000 0.0000 0.5000
Bi1 0.2500 0.2500 0.7500
Pt1 0.2500 0.2500 0.2500

## Properties
- Total energy: -82.99 eV/cell

(6)
Density functional theory data (PBE-GGA) for a relaxed SrLiBiPt crystal.

Cell: 7.1507 7.1507 7.1507 Å, 90.00 90.00 90.00°
Space group F-43m (No. 216)
Asymmetric unit:
Sr1 0.0000 0.0000 0.0000
Li1 0.2500 0.2500 0.7500
Bi1 0.0000 0.0000 0.5000
Pt1 0.2500 0.2500 0.2500

## Properties
- Total energy: -63.26 eV/cell

DOS at the Fermi energy across the listed records, respectively: 4.7 6.0 47.3 3.1 8.6 5.5 states/eV per cell.